GGA+U NbCo2IrO, relaxed; total DFT energy (no corrections) = -7.071 eV per atom; space-group type = P4/mmm, No. 123
1.0
3.9140 0.0000 0.0000
0.0000 4.2311 0.0000
0.0000 0.0000 3.9140
Nb Ir Co O
1 1 2 1
direct
0.0000 0.5000 0.0000
0.5000 0.5000 0.5000
0.0000 0.0000 0.5000
0.5000 0.0000 0.0000
0.0000 0.0000 0.0000